(1)
# GGA-PBE MgIrRh2, relaxed
data_MgIrRh2
_cell_length_a 3.8975
_cell_length_b 3.8975
_cell_length_c 7.6982
_cell_angle_alpha 90.00
_cell_angle_beta 90.00
_cell_angle_gamma 90.00
_symmetry_space_group_name_H-M 'I 4/m m m'
_symmetry_Int_Tables_number 139
_symmetry_space_group_name_Hall '-I 4 2'
loop_
_atom_site_label
_atom_site_type_symbol
_atom_site_fract_x
_atom_site_fract_y
_atom_site_fract_z
Mg1 Mg 0.0000 0.0000 0.0000
Ir1 Ir 0.0000 0.0000 0.5000
Rh1 Rh 0.0000 0.5000 0.2500
# - energy relative to the elements (eV per atom) = -0.23

=====

(2)
# GGA-PBE La6IrPd5, relaxed
data_La6IrPd5
_cell_length_a 5.1734
_cell_length_b 7.2700
_cell_length_c 15.6537
_cell_angle_alpha 90.00
_cell_angle_beta 90.00
_cell_angle_gamma 90.00
_symmetry_space_group_name_H-M 'I m m m'
_symmetry_Int_Tables_number 71
_symmetry_space_group_name_Hall '-I 2 2'
loop_
_atom_site_label
_atom_site_type_symbol
_atom_site_fract_x
_atom_site_fract_y
_atom_site_fract_z
La1 La 0.0000 0.2397 0.0000
La2 La 0.0000 0.2552 0.3384
Ir1 Ir 0.0000 0.5000 0.5000
Pd1 Pd 0.0000 0.0000 0.1782
Pd2 Pd 0.0000 0.0000 0.5000
Pd3 Pd 0.0000 0.5000 0.1688
# - energy relative to the elements (eV per atom) = -0.75

=====

(3)
# GGA-PBE Tb3Tm2In4, relaxed
data_Tb3Tm2In4
_cell_length_a 6.9789
_cell_length_b 15.2963
_cell_length_c 9.8614
_cell_angle_alpha 90.00
_cell_angle_beta 90.00
_cell_angle_gamma 90.00
_symmetry_space_group_name_H-M 'C m c e'
_symmetry_Int_Tables_number 64
_symmetry_space_group_name_Hall '-C 2ac 2'
loop_
_atom_site_label
_atom_site_type_symbol
_atom_site_fract_x
_atom_site_fract_y
_atom_site_fract_z
Tb1 Tb 0.0000 0.0000 0.0000
Tb2 Tb 0.2500 0.2221 0.2500
Tm1 Tm 0.0000 0.1054 0.5349
In1 In 0.0000 0.1964 0.9825
In2 In 0.2500 0.0080 0.2500
# - energy relative to the elements (eV per atom) = -0.23

=====

(4)
# GGA-PBE Pr2Dy6Y3Th, relaxed
data_Pr2Dy6Y3Th
_cell_length_a 6.2207
_cell_length_b 10.7640
_cell_length_c 11.8492
_cell_angle_alpha 90.00
_cell_angle_beta 100.06
_cell_angle_gamma 90.00
_symmetry_space_group_name_H-M 'C 1 2/m 1'
_symmetry_Int_Tables_number 12
loop_
_symmetry_equiv_pos_as_xyz
'x,y,z'
'-x,-y,-z'
'-x,y,-z'
'x,-y,z'
'x+1/2,y+1/2,z'
'-x+1/2,-y+1/2,-z'
'-x+1/2,y+1/2,-z'
'x+1/2,-y+1/2,z'
loop_
_atom_site_label
_atom_site_type_symbol
_atom_site_fract_x
_atom_site_fract_y
_atom_site_fract_z
Pr1 Pr 0.0000 0.1666 0.0000
Dy1 Dy 0.2448 0.5000 0.7493
Dy2 Dy 0.2488 0.3354 0.2508
Y1 Y 0.0000 0.0000 0.5000
Y2 Y 0.0000 0.3331 0.5000
Th1 Th 0.0000 0.5000 0.0000
# - energy relative to the elements (eV per atom) = 0.03

=====

> The highest energy relative to the elements belongs to which entry?

Pr2Dy6Y3Th

=====

> Which of these has the lowest energy relative to the elements?

La6IrPd5

=====

> What is the energy relative to the elements in the first record?

-0.23 eV per atom

=====

> Which formula does entry 3 have?

Tb3Tm2In4